# 1
CeSm2Ge3Ir4 | GGA-PBE | relaxed

- Energy relative to the elements: -0.765 eV/atom
- SG: No. 115

Cell lengths 4.2389, 4.2389, 11.0870 Å; angles 90.00, 90.00, 90.00 degrees
With the nearest neighbours (Å) after each atom.
Sites, in units of the cell vectors:
Sm1 0.5000 0.0000 0.2223  4 Ge 3.19, 8 Ir 3.25-3.29
Sm2 0.0000 0.5000 0.7777  4 Ge 3.19, 8 Ir 3.25-3.29
Ir1 0.0000 0.5000 0.3456  3 Ge 2.46-2.72, 2 Ce 2.72
Ir2 0.5000 0.5000 0.0000  4 Ge 2.52
Ir3 0.5000 0.0000 0.6544  3 Ge 2.46-2.72, 2 Ce 2.72
Ir4 0.0000 0.0000 0.0000  4 Ge 2.52
Ge1 0.0000 0.0000 0.5000  4 Ir 2.72, 4 Ce 3.00
Ge2 0.5000 0.0000 0.8762  5 Ir 2.46-2.52
Ge3 0.0000 0.5000 0.1238  5 Ir 2.46-2.52
Ce1 0.5000 0.5000 0.5000  4 Ir 2.72, 4 Ge 3.00

=====

# 2
Ce2SnGeIr | GGA-PBE | relaxed

- Energy relative to the elements: -0.640 eV/atom
- SG: No. 11

Cell lengths 4.1766, 7.5116, 8.9677 Å; angles 117.48, 90.00, 90.00 degrees
With the nearest neighbours (Å) after each atom.
Sites, in units of the cell vectors:
Ir1 0.2500 0.8771 0.9163  1 Ge 2.50, 2 Ir 2.73
Ir2 0.7500 0.1229 0.0837  1 Ge 2.50, 2 Ir 2.73
Ce1 0.7500 0.7061 0.0336  3 Ir 2.89-2.95
Ce2 0.2500 0.2137 0.3403  2 Ir 2.94, 3 Ge 3.08-3.16
Ce3 0.7500 0.7863 0.6597  2 Ir 2.94, 3 Ge 3.08-3.16
Ce4 0.2500 0.2939 0.9664  3 Ir 2.89-2.95
Sn1 0.2500 0.7628 0.3519  2 Ge 2.79
Sn2 0.7500 0.2372 0.6481  2 Ge 2.79
Ge1 0.2500 0.5099 0.7187  1 Ir 2.50, 2 Sn 2.79
Ge2 0.7500 0.4901 0.2813  1 Ir 2.50, 2 Sn 2.79

=====

# 3
Sr2CeGe3Ir4 | GGA-PBE | relaxed

- Energy relative to the elements: -0.625 eV/atom
- SG: No. 115

Cell lengths 4.3369, 4.3369, 11.0341 Å; angles 90.00, 90.00, 90.00 degrees
With the nearest neighbours (Å) after each atom.
Sites, in units of the cell vectors:
Ir1 0.5000 0.5000 0.0000  4 Ge 2.54
Ir2 0.0000 0.5000 0.3525  3 Ge 2.57-2.71, 2 Ce 2.71
Ir3 0.0000 0.0000 0.0000  4 Ge 2.54
Ir4 0.5000 0.0000 0.6475  3 Ge 2.57-2.71, 2 Ce 2.71
Ge1 0.0000 0.0000 0.5000  4 Ir 2.71
Ge2 0.5000 0.0000 0.8803  5 Ir 2.54-2.57
Ge3 0.0000 0.5000 0.1197  5 Ir 2.54-2.57
Sr1 0.5000 0.0000 0.2293  6 Ge 3.30-3.69, 8 Ir 3.33-3.35, 2 Ce 3.69
Sr2 0.0000 0.5000 0.7707  6 Ge 3.30-3.69, 8 Ir 3.33-3.35, 2 Ce 3.69
Ce1 0.5000 0.5000 0.5000  4 Ir 2.71

=====

# 4
Ce2TcGe4Ir3 | GGA-PBE | relaxed

- Energy relative to the elements: -0.694 eV/atom
- SG: No. 115

Cell lengths 4.3287, 4.3287, 9.9094 Å; angles 90.00, 90.00, 90.00 degrees
With the nearest neighbours (Å) after each atom.
Sites, in units of the cell vectors:
Ge1 0.0000 0.5000 0.3735  3 Ir 2.45-2.50, 2 Tc 2.50
Ge2 0.0000 0.0000 0.0000  4 Ir 2.50
Ge3 0.5000 0.0000 0.6265  3 Ir 2.45-2.50, 2 Tc 2.50
Ge4 0.5000 0.5000 0.0000  4 Ir 2.50
Ir1 0.0000 0.5000 0.1258  5 Ge 2.45-2.50
Ir2 0.5000 0.0000 0.8742  5 Ge 2.45-2.50
Ir3 0.0000 0.0000 0.5000  4 Ge 2.50
Ce1 0.5000 0.0000 0.2523  2 Tc 3.27, 6 Ir 3.27-3.31, 8 Ge 3.29-3.31
Ce2 0.0000 0.5000 0.7477  2 Tc 3.27, 6 Ir 3.27-3.31, 8 Ge 3.29-3.31
Tc1 0.5000 0.5000 0.5000  4 Ge 2.50

=====

The following total magnetization values (in μB per formula unit) correspond, in order, to the records above: 0.000, 1.235, 0.000, 0.708.
The following DOS(E_F) values (in states/eV/cell) correspond, in order, to the records above: 5.3, 19.7, 7.0, 9.4.